## LaThSc3 (GGA-PBE)

Data for an optimized crystal structure of LaThSc3.

Cell and atoms, written as CIF:
```
data_LaThSc3
_chemical_formula_sum 'La4 Th4 Sc12'
_cell_length_a 6.732
_cell_length_b 4.990
_cell_length_c 16.792
_cell_angle_alpha 90.00
_cell_angle_beta 90.00
_cell_angle_gamma 90.00
_space_group_name_H-M_alt 'P n m a'
_space_group_IT_number 62
loop_
_space_group_symop_operation_xyz
'x,y,z'
'-x,-y,-z'
'-x+1/2,-y,z+1/2'
'x+1/2,y,-z+1/2'
'x+1/2,-y+1/2,-z+1/2'
'-x+1/2,y+1/2,z+1/2'
'-x,y+1/2,-z'
'x,-y+1/2,z'
loop_
_atom_site_label
_atom_site_fract_x
_atom_site_fract_y
_atom_site_fract_z
La1 0.091 0.250 0.153
Th1 0.138 0.250 0.551
Sc1 0.085 0.250 0.353
Sc2 0.144 0.250 0.950
Sc3 0.169 0.250 0.751
```

Properties
As for the formation energy: 0.054 eV per atom. The value obtained for the excess energy over the best structure of this formula in the dataset is 0 meV/atom. The total DFT energy (no corrections) comes out at -124.3 eV for the cell shown.